BeTlRe3 (PBE, relaxed); space group = Pm-3m, No. 221
1.0
4.2566 0.0000 0.0000
0.0000 4.2566 0.0000
0.0000 0.0000 4.2566
Be Tl Re
1 1 3
direct
0.0000 0.0000 0.0000
0.5000 0.5000 0.5000
0.0000 0.0000 0.5000
0.0000 0.5000 0.0000
0.5000 0.0000 0.0000

***

BeTlRe2 (PBE, relaxed); space group = F-43m, No. 216
1.0
6.2660 0.0000 0.0000
0.0000 6.2660 0.0000
0.0000 0.0000 6.2660
Be Tl Re
4 4 8
direct
0.0000 0.0000 0.0000
0.0000 0.5000 0.5000
0.5000 0.0000 0.5000
0.5000 0.5000 0.0000
0.2500 0.2500 0.7500
0.2500 0.7500 0.2500
0.7500 0.2500 0.2500
0.7500 0.7500 0.7500
0.0000 0.0000 0.5000
0.0000 0.5000 0.0000
0.2500 0.2500 0.2500
0.2500 0.7500 0.7500
0.5000 0.0000 0.0000
0.5000 0.5000 0.5000
0.7500 0.2500 0.7500
0.7500 0.7500 0.2500

***

Be2TlRe (PBE, relaxed); space group = F-43m, No. 216
1.0
6.1553 0.0000 0.0000
0.0000 6.1553 0.0000
0.0000 0.0000 6.1553
Be Tl Re
8 4 4
direct
0.0000 0.0000 0.0000
0.0000 0.5000 0.5000
0.2500 0.2500 0.2500
0.2500 0.7500 0.7500
0.5000 0.0000 0.5000
0.5000 0.5000 0.0000
0.7500 0.2500 0.7500
0.7500 0.7500 0.2500
0.0000 0.0000 0.5000
0.0000 0.5000 0.0000
0.5000 0.0000 0.0000
0.5000 0.5000 0.5000
0.2500 0.2500 0.7500
0.2500 0.7500 0.2500
0.7500 0.2500 0.2500
0.7500 0.7500 0.7500

***

BeTlReW (PBE, relaxed); space group = F-43m, No. 216
1.0
6.2800 0.0000 0.0000
0.0000 6.2800 0.0000
0.0000 0.0000 6.2800
Be Tl Re W
4 4 4 4
direct
0.0000 0.0000 0.0000
0.0000 0.5000 0.5000
0.5000 0.0000 0.5000
0.5000 0.5000 0.0000
0.0000 0.0000 0.5000
0.0000 0.5000 0.0000
0.5000 0.0000 0.0000
0.5000 0.5000 0.5000
0.2500 0.2500 0.2500
0.2500 0.7500 0.7500
0.7500 0.2500 0.7500
0.7500 0.7500 0.2500
0.2500 0.2500 0.7500
0.2500 0.7500 0.2500
0.7500 0.2500 0.2500
0.7500 0.7500 0.7500

***

BeTlReW (PBE, relaxed); space group = F-43m, No. 216
1.0
6.3152 0.0000 0.0000
0.0000 6.3152 0.0000
0.0000 0.0000 6.3152
Be Tl Re W
4 4 4 4
direct
0.0000 0.0000 0.0000
0.0000 0.5000 0.5000
0.5000 0.0000 0.5000
0.5000 0.5000 0.0000
0.2500 0.2500 0.2500
0.2500 0.7500 0.7500
0.7500 0.2500 0.7500
0.7500 0.7500 0.2500
0.0000 0.0000 0.5000
0.0000 0.5000 0.0000
0.5000 0.0000 0.0000
0.5000 0.5000 0.5000
0.2500 0.2500 0.7500
0.2500 0.7500 0.2500
0.7500 0.2500 0.2500
0.7500 0.7500 0.7500

***

TmBeRe (PBE, relaxed); space group = F-43m, No. 216
1.0
6.3633 0.0000 0.0000
0.0000 6.3633 0.0000
0.0000 0.0000 6.3633
Tm Be Re
4 4 4
direct
0.0000 0.0000 0.0000
0.0000 0.5000 0.5000
0.5000 0.0000 0.5000
0.5000 0.5000 0.0000
0.2500 0.2500 0.7500
0.2500 0.7500 0.2500
0.7500 0.2500 0.2500
0.7500 0.7500 0.7500
0.2500 0.2500 0.2500
0.2500 0.7500 0.7500
0.7500 0.2500 0.7500
0.7500 0.7500 0.2500

***

| no. | calculated volume (Å³/atom) | magnetic moment (μB per atom) | E (eV per atom) |
| --- | --- | --- | --- |
| 1 | 15.42 | 0.01 | -7.54 |
| 2 | 15.38 | 0.00 | -6.89 |
| 3 | 14.58 | 0.00 | -4.51 |
| 4 | 15.48 | 0.03 | -6.75 |
| 5 | 15.74 | 0.00 | -7.08 |
| 6 | 21.47 | 0.64 | -5.28 |